CsKNa2Tl | PBE | relaxed

Calculated values
Formation energy from the elements = 0.06 eV/atom
Distance to the lowest polymorph of the same formula = 61 meV/atom

Unit cell a=6.3378 b=6.3378 c=7.1221 alpha=90.00 beta=90.00 gamma=90.00
Fractional coordinates of all 5 atoms:
Tl 0.0000 0.0000 0.0000
Na 0.5000 0.0000 0.0000
Na 0.0000 0.5000 0.0000
K 0.5000 0.5000 0.5000
Cs 0.0000 0.0000 0.5000

CsK2NaTl | PBE | relaxed

Calculated values
Formation energy from the elements = 0.09 eV/atom
Distance to the lowest polymorph of the same formula = 83 meV/atom

Unit cell a=7.0659 b=7.0659 c=6.0817 alpha=90.00 beta=90.00 gamma=90.00
Fractional coordinates of all 5 atoms:
Tl 0.0000 0.0000 0.5000
Cs 0.5000 0.5000 0.5000
Na 0.0000 0.0000 0.0000
K 0.0000 0.5000 0.0000
K 0.5000 0.0000 0.0000

CsK2NaTl | PBE | relaxed

Calculated values
Formation energy from the elements = 0.12 eV/atom
Distance to the lowest polymorph of the same formula = 114 meV/atom

Unit cell a=6.9405 b=6.9405 c=7.2489 alpha=90.00 beta=90.00 gamma=90.00
Fractional coordinates of all 5 atoms:
K 0.5000 0.0000 0.0000
K 0.0000 0.5000 0.0000
Cs 0.0000 0.0000 0.5000
Tl 0.0000 0.0000 0.0000
Na 0.5000 0.5000 0.5000

CsKNb2O6 | PBE | relaxed

Calculated values
Energy relative to the elements, uncorrected = -227.7 kJ/mol of atoms

Unit cell a=6.5771 b=8.6632 c=8.6632 alpha=92.51 beta=79.25 gamma=79.25
Fractional coordinates of all 20 atoms:
O 0.8505 0.4220 0.8308
K 0.7500 0.7371 0.2629
O 0.1495 0.5780 0.1692
Nb 0.7897 0.6210 0.7749
O 0.0501 0.6648 0.6482
O 0.6495 0.1692 0.5780
Cs 0.2500 0.8949 0.1051
O 0.3505 0.8308 0.4220
Nb 0.2897 0.7749 0.6210
Nb 0.7103 0.2251 0.3790
O 0.7131 0.7531 0.9537
Cs 0.7500 0.1051 0.8949
O 0.7869 0.0463 0.2469
O 0.2131 0.9537 0.7531
O 0.4499 0.3518 0.3352
Nb 0.2103 0.3790 0.2251
O 0.5501 0.6482 0.6648
O 0.2869 0.2469 0.0463
K 0.2500 0.2629 0.7371
O 0.9499 0.3352 0.3518

no.,calculated density (Mg/m³)
1,2.452
2,2.398
3,2.085
4,3.174